(1)
Material: CrPIr2
Method: DFT, PBE
State: relaxed

Geometry as POSCAR:
```
CrPIr2
1.0
1.386 -2.407 0.000
1.386 2.407 0.000
0.000 0.000 8.334
Cr P Ir
1 1 2
direct
0.000 0.000 0.000
0.500 0.500 0.219
0.000 0.000 0.449
0.500 0.500 0.746
```

Values from the calculation:
- uncorrected energy (eV per atom) = -7.97
- symmetry = Cmm2
- DOS at the Fermi energy (states/eV per atom) = 0.924
- size of the total moment (μB per cell) = 1.63

=====

(2)
Material: Cr2PIr
Method: DFT, PBE
State: relaxed

Geometry as POSCAR:
```
Cr2PIr
1.0
2.861 0.000 0.000
0.000 2.861 0.000
0.000 0.000 6.048
Cr P Ir
2 1 1
direct
0.000 0.000 0.000
0.500 0.500 0.262
0.500 0.500 0.821
0.000 0.000 0.526
```

Values from the calculation:
- uncorrected energy (eV per atom) = -8.50
- symmetry = P4mm
- DOS at the Fermi energy (states/eV per atom) = 0.695
- size of the total moment (μB per cell) = 0.00

=====

(3)
Material: CrP4Ir2
Method: DFT, PBE
State: relaxed

Geometry as POSCAR:
```
CrP4Ir2
1.0
-2.268 2.268 5.825
2.268 -2.268 5.825
2.268 2.268 -5.825
Cr P Ir
1 4 2
direct
0.000 0.000 0.000
0.000 0.500 0.500
0.201 0.201 0.000
0.500 0.000 0.500
0.799 0.799 0.000
0.387 0.387 0.000
0.613 0.613 0.000
```

Values from the calculation:
- uncorrected energy (eV per atom) = -6.58
- symmetry = I4/mmm
- DOS at the Fermi energy (states/eV per atom) = 0.907
- size of the total moment (μB per cell) = 2.49

=====

(4)
Material: Cr2PIr
Method: DFT, PBE
State: relaxed

Geometry as POSCAR:
```
Cr2PIr
1.0
2.741 0.000 0.000
0.000 3.773 0.000
0.000 0.000 4.801
Cr P Ir
2 1 1
direct
0.000 0.000 0.220
0.000 0.000 0.780
0.500 0.500 0.000
0.500 0.500 0.500
```

Values from the calculation:
- uncorrected energy (eV per atom) = -8.53
- symmetry = Pmmm
- DOS at the Fermi energy (states/eV per atom) = 0.868
- size of the total moment (μB per cell) = 0.00

=====

The lowest DOS at the Fermi energy belongs to which entry? number 2

=====

Which of these has the highest size of the total moment? CrP4Ir2